(1)
# SiBRhCS | Alexandria via LeMat-Bulk | PBE | optimized geometry
# - space-group type = Cm (8)
# - polymorph energy (0 for the lowest one) (eV/atom) = 0.139
data_SiBRhCS
_chemical_formula_sum 'Si2 B2 Rh2 C2 S2'
_cell_length_a 8.012
_cell_length_b 2.944
_cell_length_c 5.102
_cell_angle_alpha 90.00
_cell_angle_beta 102.43
_cell_angle_gamma 90.00
_space_group_name_H-M_alt 'P 1'
_space_group_IT_number 1
loop_
_space_group_symop_operation_xyz
'x,y,z'
loop_
_atom_site_label
_atom_site_type_symbol
_atom_site_fract_x
_atom_site_fract_y
_atom_site_fract_z
C1 C 0.138 0.500 0.982
Si1 Si 0.023 0.000 0.775
Rh1 Rh 0.776 0.500 0.536
B1 B 0.337 0.500 0.046
Rh2 Rh 0.776 0.000 0.036
Si2 Si 0.023 0.500 0.275
S1 S 0.452 0.000 0.918
C2 C 0.138 0.000 0.482
S2 S 0.452 0.500 0.418
B2 B 0.337 0.000 0.546

=====

(2)
# SiBRhCS | Alexandria via LeMat-Bulk | PBE | optimized geometry
# - space-group type = Cm (8)
# - polymorph energy (0 for the lowest one) (eV/atom) = 0.118
data_SiBRhCS
_chemical_formula_sum 'Si1 B1 Rh1 C1 S1'
_cell_length_a 3.099
_cell_length_b 3.099
_cell_length_c 7.279
_cell_angle_alpha 92.95
_cell_angle_beta 99.28
_cell_angle_gamma 120.00
_space_group_name_H-M_alt 'P 1'
_space_group_IT_number 1
loop_
_space_group_symop_operation_xyz
'x,y,z'
loop_
_atom_site_label
_atom_site_type_symbol
_atom_site_fract_x
_atom_site_fract_y
_atom_site_fract_z
B1 B 0.156 0.354 0.365
S1 S 0.745 0.639 0.238
C1 C 0.285 0.448 0.586
Rh1 Rh 0.476 0.583 0.915
Si1 Si 0.007 0.823 0.685

=====

(3)
# SiBRhCS | Alexandria via LeMat-Bulk | PBE | optimized geometry
# - space-group type = Cm (8)
# - polymorph energy (0 for the lowest one) (eV/atom) = 0.082
data_SiBRhCS
_chemical_formula_sum 'Si2 B2 Rh2 C2 S2'
_cell_length_a 7.443
_cell_length_b 3.042
_cell_length_c 6.833
_cell_angle_alpha 90.00
_cell_angle_beta 113.93
_cell_angle_gamma 90.00
_space_group_name_H-M_alt 'P 1'
_space_group_IT_number 1
loop_
_space_group_symop_operation_xyz
'x,y,z'
loop_
_atom_site_label
_atom_site_type_symbol
_atom_site_fract_x
_atom_site_fract_y
_atom_site_fract_z
C1 C 0.392 0.500 0.624
S1 S 0.035 0.500 0.088
B1 B 0.183 0.000 0.102
C2 C 0.392 0.000 0.124
B2 B 0.183 0.500 0.602
Rh1 Rh 0.693 0.000 0.385
Si1 Si 0.513 0.500 0.087
S2 S 0.035 0.000 0.588
Si2 Si 0.513 0.000 0.587
Rh2 Rh 0.693 0.500 0.885

=====

(4)
# SiBRhCS | Alexandria via LeMat-Bulk | PBE | optimized geometry
# - space-group type = Pm (6)
# - polymorph energy (0 for the lowest one) (eV/atom) = 0.366
data_SiBRhCS
_chemical_formula_sum 'Si1 B1 Rh1 C1 S1'
_cell_length_a 3.385
_cell_length_b 3.075
_cell_length_c 6.603
_cell_angle_alpha 90.00
_cell_angle_beta 103.71
_cell_angle_gamma 90.00
_space_group_name_H-M_alt 'P 1'
_space_group_IT_number 1
loop_
_space_group_symop_operation_xyz
'x,y,z'
loop_
_atom_site_label
_atom_site_type_symbol
_atom_site_fract_x
_atom_site_fract_y
_atom_site_fract_z
B1 B 0.348 0.500 0.620
S1 S 0.204 0.000 0.466
C1 C 0.017 0.000 0.976
Si1 Si 0.745 0.500 0.898
Rh1 Rh 0.578 0.000 0.175

=====

(5)
# SiBRhCS | Alexandria via LeMat-Bulk | PBE | optimized geometry
# - space-group type = Amm2 (38)
# - polymorph energy (0 for the lowest one) (eV/atom) = 0.000
data_SiBRhCS
_chemical_formula_sum 'Si2 B2 Rh2 C2 S2'
_cell_length_a 3.054
_cell_length_b 2.822
_cell_length_c 13.985
_cell_angle_alpha 90.00
_cell_angle_beta 90.00
_cell_angle_gamma 90.00
_space_group_name_H-M_alt 'P 1'
_space_group_IT_number 1
loop_
_space_group_symop_operation_xyz
'x,y,z'
loop_
_atom_site_label
_atom_site_type_symbol
_atom_site_fract_x
_atom_site_fract_y
_atom_site_fract_z
Rh1 Rh 0.500 0.500 0.654
Si1 Si 0.500 0.000 0.513
B1 B 0.000 0.500 0.373
Rh2 Rh 0.500 0.000 0.154
Si2 Si 0.500 0.500 0.013
C1 C 0.000 0.000 0.432
S1 S 0.500 0.000 0.784
C2 C 0.000 0.500 0.932
B2 B 0.000 0.000 0.873
S2 S 0.500 0.500 0.284

=====

(6)
# SiBRhCS | Alexandria via LeMat-Bulk | PBE | optimized geometry
# - space-group type = R3m (160)
# - polymorph energy (0 for the lowest one) (eV/atom) = 0.101
data_SiBRhCS
_chemical_formula_sum 'Si3 B3 Rh3 C3 S3'
_cell_length_a 2.986
_cell_length_b 2.986
_cell_length_c 24.014
_cell_angle_alpha 90.00
_cell_angle_beta 90.00
_cell_angle_gamma 120.00
_space_group_name_H-M_alt 'P 1'
_space_group_IT_number 1
loop_
_space_group_symop_operation_xyz
'x,y,z'
loop_
_atom_site_label
_atom_site_type_symbol
_atom_site_fract_x
_atom_site_fract_y
_atom_site_fract_z
Rh1 Rh 0.000 0.000 0.608
S1 S 0.333 0.667 0.378
Si1 Si 0.000 0.000 0.512
B1 B 0.333 0.667 0.748
C1 C 0.000 0.000 0.147
Si2 Si 0.333 0.667 0.179
B2 B 0.667 0.333 0.415
Si3 Si 0.667 0.333 0.845
Rh2 Rh 0.333 0.667 0.275
S2 S 0.667 0.333 0.044
Rh3 Rh 0.667 0.333 0.941
C2 C 0.333 0.667 0.813
B3 B 0.000 0.000 0.082
C3 C 0.667 0.333 0.480
S3 S 0.000 0.000 0.711

=====

Calculated calculated volume in order - 11.75, 11.81, 14.14, 13.35, 12.06, 12.36 A^3/atom
Calculated formation energy (no corrections) in order - -0.0223, -0.0436, -0.0796, 0.2048, -0.1612, -0.0606 eV/atom